# LiAg3

A relaxed structure of LiAg3 (PBE, Alexandria).

Cell: 8.7048 8.7048 8.7048 Å, 152.90 152.90 38.69°
Sites, in units of the cell vectors:
Ag: 0.1245 0.1245 0.0000
Ag: 0.2500 0.7500 0.5000
Ag: 0.8755 0.8755 0.0000
Ag: 0.5000 0.0000 0.5000
Ag: 0.7500 0.2500 0.5000
Ag: 0.0000 0.5000 0.5000
Li: 0.6269 0.6269 0.0000
Li: 0.3731 0.3731 0.0000

Output
Space group: I4/mmm, No. 139
ΔE_f in eV per atom: -0.129

# AsRhPb2

A relaxed structure of AsRhPb2 (PBE, Alexandria).

Cell: 5.0202 5.0202 5.0202 Å, 60.00 60.00 60.00°
Sites, in units of the cell vectors:
Pb: 0.7500 0.7500 0.7500
Pb: 0.0000 0.0000 0.0000
As: 0.5000 0.5000 0.5000
Rh: 0.2500 0.2500 0.2500

Output
Space group: F-43m, No. 216
ΔE_f in eV per atom: 0.272

# ZrHg2Sb

A relaxed structure of ZrHg2Sb (PBE, Alexandria).

Cell: 3.1756 3.1756 9.9257 Å, 90.00 90.00 90.00°
Sites, in units of the cell vectors:
Hg: 0.5000 0.5000 0.2298
Hg: 0.0000 0.0000 0.9747
Zr: 0.5000 0.5000 0.7584
Sb: 0.0000 0.0000 0.5372

Output
Space group: P4mm, No. 99
Formation energy (no corrections) in eV per atom: -0.09

# Ce3ErTe6

A relaxed structure of Ce3ErTe6 (PBE, Alexandria).

Cell: 7.4368 8.3623 11.2098 Å, 90.00 91.52 90.00°
Sites, in units of the cell vectors:
Te: 0.6626 0.4480 0.2568
Te: 0.6567 0.1802 0.5739
Te: 0.1567 0.3198 0.0739
Te: 0.3374 0.5520 0.7432
Te: 0.8374 0.9480 0.2432
Te: 0.8433 0.6802 0.9261
Te: 0.8368 0.6733 0.5784
Te: 0.6632 0.1733 0.9216
Te: 0.3368 0.8267 0.0784
Te: 0.1626 0.0520 0.7568
Te: 0.1632 0.3267 0.4216
Te: 0.3433 0.8198 0.4261
Ce: 0.9488 0.3809 0.7554
Ce: 0.0512 0.6191 0.2446
Ce: 0.5512 0.8809 0.7446
Ce: 0.4488 0.1191 0.2554
Ce: 0.5000 0.5000 0.0000
Ce: 0.0000 0.0000 0.5000
Er: 0.0000 0.0000 0.0000
Er: 0.5000 0.5000 0.5000

Output
Space group: P2_1/c, No. 14
Formation energy (no corrections) in eV per atom: -1.32

# Mn4NbAu

A relaxed structure of Mn4NbAu (PBE, Alexandria).

Cell: 4.8074 4.8074 4.8074 Å, 60.00 60.00 60.00°
Sites, in units of the cell vectors:
Au: 0.0000 0.0000 0.0000
Nb: 0.2500 0.2500 0.2500
Mn: 0.6266 0.6266 0.1201
Mn: 0.1201 0.6266 0.6266
Mn: 0.6266 0.1201 0.6266
Mn: 0.6266 0.6266 0.6266

Output
Space group: F-43m, No. 216
ΔE_f in eV per atom: 0.024

# BiB2Os

A relaxed structure of BiB2Os (PBE, Alexandria).

Cell: 5.2425 5.2425 6.3365 Å, 65.56 65.56 90.00°
Sites, in units of the cell vectors:
Os: 0.2500 0.7500 0.5000
Os: 0.5000 0.5000 0.0000
B: 0.2166 0.6250 0.2500
B: 0.5334 0.1250 0.2500
B: 0.3750 0.4666 0.7500
B: 0.8750 0.7834 0.7500
Bi: 0.0000 0.0000 0.0000
Bi: 0.7500 0.2500 0.5000

Output
Space group: I-42d, No. 122
ΔE_f in eV per atom: 0.684

# CdCoPS2

A relaxed structure of CdCoPS2 (PBE, Alexandria).

Cell: 4.9910 4.9910 4.8755 Å, 90.00 90.00 90.00°
Sites, in units of the cell vectors:
S: 0.5000 0.0000 0.0000
S: 0.0000 0.5000 0.0000
Cd: 0.0000 0.0000 0.0000
Co: 0.5000 0.5000 0.5000
P: 0.0000 0.0000 0.5000

Output
ΔE to the lowest computed polymorph in meV per atom: 1104
Space group: P4/mmm, No. 123
Formation energy (no corrections) in eV per atom: 1.40

# La2YRu

A relaxed structure of La2YRu (PBE, Alexandria).

Cell: 5.2563 5.2563 5.2563 Å, 60.00 60.00 60.00°
Sites, in units of the cell vectors:
La: 0.2500 0.2500 0.2500
La: 0.0000 0.0000 0.0000
Ru: 0.5000 0.5000 0.5000
Y: 0.7500 0.7500 0.7500

Output
ΔE to the lowest computed polymorph in meV per atom: 394
Space group: F-43m, No. 216
ΔE_f in eV per atom: 0.152

# BaZr2Sb

A relaxed structure of BaZr2Sb (PBE, Alexandria).

Cell: 5.8514 5.8514 5.8514 Å, 132.26 132.26 69.82°
Sites, in units of the cell vectors:
Zr: 0.0000 0.0000 0.0000
Zr: 0.2500 0.7500 0.5000
Sb: 0.7500 0.2500 0.5000
Ba: 0.5000 0.5000 0.0000

Output
Space group: I-4m2, No. 119
Formation energy (no corrections) in eV per atom: 0.16

# Li2AcLaSe4

A relaxed structure of Li2AcLaSe4 (PBE, Alexandria).

Cell: 4.3773 7.0005 7.5874 Å, 68.78 90.00 90.00°
Sites, in units of the cell vectors:
Ac: 0.0000 0.5000 0.5000
Se: 0.0000 0.7616 0.7526
Se: 0.0000 0.2384 0.2474
Se: 0.5000 0.2349 0.7624
Se: 0.5000 0.7651 0.2376
Li: 0.0000 0.0000 0.0000
Li: 0.5000 0.0000 0.5000
La: 0.5000 0.5000 0.0000

Output
Space group: P2/m, No. 10
Formation energy (no corrections) in eV per atom: -1.70

# AcTmAgRh

A relaxed structure of AcTmAgRh (PBE, Alexandria).

Cell: 5.1892 5.1892 5.1892 Å, 60.00 60.00 60.00°
Sites, in units of the cell vectors:
Tm: 0.5000 0.5000 0.5000
Ac: 0.0000 0.0000 0.0000
Rh: 0.7500 0.7500 0.7500
Ag: 0.2500 0.2500 0.2500

Output
Space group: F-43m, No. 216
ΔE_f in eV per atom: -0.417

# BaHfTi2

A relaxed structure of BaHfTi2 (PBE, Alexandria).

Cell: 5.1039 5.1039 5.1039 Å, 60.00 60.00 60.00°
Sites, in units of the cell vectors:
Ti: 0.2500 0.2500 0.2500
Ti: 0.7500 0.7500 0.7500
Ba: 0.0000 0.0000 0.0000
Hf: 0.5000 0.5000 0.5000

Output
ΔE to the lowest computed polymorph in meV per atom: 0
Space group: Fm-3m, No. 225
ΔE_f in eV per atom: 0.794